Here is a geometry-optimized Li2ZnPb structure from Alexandria. Energies are from PBEsol.

Calculated values
- density (g cm⁻³) = 6.6
- magnetic moment (μB/f.u.) = 0.00
- VASP energy (eV per atom) = -2.59

Lattice parameters (Å, degrees): 4.989 4.989 4.989 129.77 129.77 73.78
Atoms (fractional coordinates):
Li (0.250, 0.750, 0.500)
Li (0.750, 0.250, 0.500)
Zn (0.000, 0.000, 0.000)
Pb (0.500, 0.500, 0.000)